Below is a geometry-optimized SrMg3Ru structure, with properties calculated at the PBEsol level.

```
5
Lattice="5.035 0.000 0.000 0.000 5.035 0.000 0.000 0.000 5.035" Properties=species:S:1:pos:R:3 pbc="T T T"
Mg 0.000 0.000 2.517
Sr 2.517 2.517 2.517
Ru 0.000 0.000 0.000
Mg 0.000 2.517 0.000
Mg 2.517 0.000 0.000
```

As for the total energy: -16.8 eV per cell. Its theoretical density is 3.404 g/cm3. The total moment is 0.0 μB per cell. Its formation energy from the elements is 0.0823 eV/atom.